Mn2Pb5F12, optimized geometry, DFT PBE+U; total moment = 0.530 μB per atom; raw total energy = -5.161 eV per atom; density of states at the Fermi level = 3.0 states/eV/f.u.
1.0
6.370 0.000 0.000
-3.185 7.238 -0.346
0.000 -2.924 7.717
Pb Mn F
5 2 12
Cartesian
3.185 0.267 6.510 Pb
0.000 -1.462 3.859 Pb
0.000 2.541 4.293 Pb
0.000 4.047 0.862 Pb
3.185 1.773 3.078 Pb
4.822 0.000 0.000 Mn
1.548 0.000 0.000 Mn
4.743 2.094 0.464 F
1.558 2.220 6.908 F
0.000 -0.387 1.444 F
4.690 0.123 4.620 F
0.000 4.705 5.985 F
1.627 2.094 0.464 F
3.185 4.702 5.927 F
1.505 4.191 2.751 F
3.185 -0.391 1.387 F
-1.558 2.220 6.908 F
-1.505 4.191 2.751 F
1.680 0.123 4.620 F